Entry 1:
Below is FeCuMoHSe after structural relaxation, with properties calculated at the GGA-PBE level.

Results
The calculation puts the volume at 12.2 A^3/atom. The calculation puts the energy relative to the lowest polymorph listed for this composition at 65 meV per atom. As for the total moment: 1.08 Bohr magnetons per cell.

a = 2.825 Å, b = 2.825 Å, c = 15.553 Å
α = 90.00°, β = 100.24°, γ = 90.00°
Site moments in Bohr magnetons follow the coordinates.
Fractional positions:
Mo1 0.687 0.500 0.682  -0.09
Se1 0.896 0.000 0.391  -0.03
Cu1 0.077 0.000 0.558  -0.03
Mo2 0.687 0.000 0.182  -0.09
Fe1 0.313 0.500 0.306  0.73
Cu2 0.077 0.500 0.058  -0.03
Fe2 0.313 0.000 0.806  0.73
H1 0.537 0.500 0.561  0.00
H2 0.537 0.000 0.061  0.00
Se2 0.896 0.500 0.891  -0.03

=====

Entry 2:
Below is FeCuMoHSe after structural relaxation, with properties calculated at the GGA-PBE level.

Results
The calculation puts the volume at 12.4 A^3/atom. The calculation puts the energy relative to the lowest polymorph listed for this composition at 87 meV per atom. As for the total moment: 1.89 Bohr magnetons per cell.

a = 2.840 Å, b = 2.840 Å, c = 15.410 Å
α = 90.00°, β = 90.00°, γ = 90.00°
Site moments in Bohr magnetons follow the coordinates.
Fractional positions:
Mo1 0.500 0.500 0.347  -0.10
Fe1 0.500 0.500 0.719  1.14
Mo2 0.000 0.000 0.847  -0.10
Se1 0.000 0.000 0.633  -0.05
Fe2 0.000 0.000 0.219  1.14
H1 0.500 0.500 0.833  0.00
H2 0.000 0.000 0.333  0.00
Cu1 0.500 0.500 0.971  -0.01
Cu2 0.000 0.000 0.471  -0.01
Se2 0.500 0.500 0.133  -0.05

=====

Entry 3:
Below is FeCuMoHSe after structural relaxation, with properties calculated at the GGA-PBE level.

Results
The calculation puts the volume at 13.2 A^3/atom. The calculation puts the energy relative to the lowest polymorph listed for this composition at 93 meV per atom. As for the total moment: 0.89 Bohr magnetons per cell.

a = 3.116 Å, b = 4.040 Å, c = 5.818 Å
α = 72.05°, β = 90.29°, γ = 72.04°
Site moments in Bohr magnetons follow the coordinates.
Fractional positions:
Mo1 0.839 0.063 0.760  -0.16
H1 0.763 0.546 0.830  -0.01
Cu1 0.166 0.388 0.346  -0.01
Se1 0.391 0.948 0.123  -0.01
Fe1 0.530 0.707 0.561  1.08